[1]
{
  "formula": "SiSb2MoPb",
  "functional": "PBE-GGA",
  "state": "relaxed",
  "lattice_angstrom": [[5.355, 0.000, 0.000], [0.000, 5.355, 0.000], [0.000, 0.000, 4.707]],
  "species": ["Si", "Sb", "Sb", "Mo", "Pb"],
  "frac_coords": [[0.000, 0.000, 0.000], [0.000, 0.500, 0.000], [0.500, 0.000, 0.000], [0.000, 0.000, 0.500], [0.500, 0.500, 0.500]],
  "raw_formation_energy_ev_per_atom": 0.808,
  "magmom_total_mub_per_cell": 2.33,
  "n_ef_per_ev_fu": 3.01,
  "total_energy_ev_per_atom": -4.83
}


[2]
{
  "formula": "Ca2Mg",
  "functional": "PBE-GGA",
  "state": "relaxed",
  "lattice_angstrom": [[3.790, 0.000, 0.000], [-1.895, 3.282, 0.000], [0.000, 0.000, 17.413]],
  "species": ["Ca", "Ca", "Ca", "Ca", "Mg", "Mg"],
  "frac_coords": [[0.333, 0.667, 0.279], [0.333, 0.667, 0.907], [0.667, 0.333, 0.093], [0.667, 0.333, 0.721], [0.333, 0.667, 0.566], [0.667, 0.333, 0.434]],
  "magmom_total_mub_per_cell": 0.00,
  "n_ef_per_ev_fu": 2.91,
  "total_energy_ev_per_atom": -1.81,
  "e_form_ev_per_atom": 0.057
}


[3]
{
  "formula": "SrPmGaPt",
  "functional": "PBE-GGA",
  "state": "relaxed",
  "lattice_angstrom": [[0.000, 3.691, 3.691], [3.691, 0.000, 3.691], [3.691, 3.691, 0.000]],
  "species": ["Sr", "Pm", "Ga", "Pt"],
  "frac_coords": [[0.000, 0.000, 0.000], [0.500, 0.500, 0.500], [0.750, 0.750, 0.750], [0.250, 0.250, 0.250]],
  "magmom_total_mub_per_cell": 0.00,
  "n_ef_per_ev_fu": 3.18,
  "total_energy_ev_per_atom": -4.48,
  "e_form_ev_per_atom": -0.609
}


[4]
{
  "formula": "TbSm2Al6",
  "functional": "PBE-GGA",
  "state": "relaxed",
  "lattice_angstrom": [[7.955, 0.000, 0.000], [-3.977, 6.889, 0.000], [0.000, 0.000, 3.574]],
  "species": ["Tb", "Sm", "Sm", "Al", "Al", "Al", "Al", "Al", "Al"],
  "frac_coords": [[0.000, 0.000, 0.000], [0.333, 0.667, 0.000], [0.667, 0.333, 0.000], [0.000, 0.332, 0.500], [0.000, 0.668, 0.500], [0.332, 0.000, 0.500], [0.332, 0.332, 0.500], [0.668, 0.000, 0.500], [0.668, 0.668, 0.500]],
  "magmom_total_mub_per_cell": 0.00,
  "n_ef_per_ev_fu": 4.12,
  "total_energy_ev_per_atom": -4.55,
  "e_above_lowest_polymorph_ev_per_atom": 0.000,
  "e_form_ev_per_atom": -0.489
}


[5]
{
  "formula": "NdSc3Sn3",
  "functional": "PBE-GGA",
  "state": "relaxed",
  "lattice_angstrom": [[8.857, 0.000, 0.000], [-4.429, 7.670, 0.000], [0.000, 0.000, 5.170]],
  "species": ["Nd", "Nd", "Sc", "Sc", "Sc", "Sc", "Sc", "Sc", "Sn", "Sn", "Sn", "Sn", "Sn", "Sn"],
  "frac_coords": [[0.333, 0.667, 0.250], [0.667, 0.333, 0.750], [0.008, 0.230, 0.250], [0.222, 0.992, 0.250], [0.230, 0.222, 0.750], [0.770, 0.778, 0.250], [0.778, 0.008, 0.750], [0.992, 0.770, 0.750], [0.072, 0.437, 0.750], [0.365, 0.928, 0.750], [0.437, 0.365, 0.250], [0.563, 0.635, 0.750], [0.635, 0.072, 0.250], [0.928, 0.563, 0.250]],
  "magmom_total_mub_per_cell": 0.00,
  "n_ef_per_ev_fu": 6.75,
  "total_energy_ev_per_atom": -5.65,
  "e_form_ev_per_atom": -0.535
}


[6]
{
  "formula": "KAgIr2S",
  "functional": "PBE-GGA",
  "state": "relaxed",
  "lattice_angstrom": [[4.473, 0.000, 0.000], [0.000, 4.473, 0.000], [0.000, 0.000, 5.106]],
  "species": ["K", "Ag", "Ir", "Ir", "S"],
  "frac_coords": [[0.000, 0.000, 0.000], [0.500, 0.500, 0.000], [0.000, 0.500, 0.500], [0.500, 0.000, 0.500], [0.500, 0.500, 0.500]],
  "raw_formation_energy_ev_per_atom": 0.515,
  "magmom_total_mub_per_cell": 0.43,
  "n_ef_per_ev_fu": 3.42,
  "total_energy_ev_per_atom": -4.64
}


[7]
{
  "formula": "LiGa5O8",
  "functional": "PBE-GGA",
  "state": "relaxed",
  "lattice_angstrom": [[8.319, 0.000, 0.000], [0.000, 8.319, 0.000], [0.000, 0.000, 8.319]],
  "species": ["Li", "Li", "Li", "Li", "Ga", "Ga", "Ga", "Ga", "Ga", "Ga", "Ga", "Ga", "Ga", "Ga", "Ga", "Ga", "Ga", "Ga", "Ga", "Ga", "Ga", "Ga", "Ga", "Ga", "O", "O", "O", "O", "O", "O", "O", "O", "O", "O", "O", "O", "O", "O", "O", "O", "O", "O", "O", "O", "O", "O", "O", "O", "O", "O", "O", "O", "O", "O", "O", "O"],
  "frac_coords": [[0.125, 0.125, 0.125], [0.375, 0.875, 0.625], [0.625, 0.375, 0.875], [0.875, 0.625, 0.375], [0.004, 0.504, 0.996], [0.115, 0.375, 0.365], [0.125, 0.635, 0.615], [0.135, 0.885, 0.875], [0.246, 0.254, 0.746], [0.254, 0.746, 0.246], [0.365, 0.115, 0.375], [0.375, 0.365, 0.115], [0.385, 0.625, 0.865], [0.496, 0.496, 0.496], [0.504, 0.996, 0.004], [0.615, 0.125, 0.635], [0.625, 0.865, 0.385], [0.635, 0.615, 0.125], [0.746, 0.246, 0.254], [0.754, 0.754, 0.754], [0.865, 0.385, 0.625], [0.875, 0.135, 0.885], [0.885, 0.875, 0.135], [0.996, 0.004, 0.504], [0.113, 0.387, 0.613], [0.116, 0.119, 0.873], [0.119, 0.873, 0.116], [0.123, 0.869, 0.634], [0.127, 0.616, 0.381], [0.131, 0.134, 0.377], [0.134, 0.377, 0.131], [0.137, 0.637, 0.863], [0.363, 0.363, 0.363], [0.366, 0.623, 0.631], [0.369, 0.866, 0.877], [0.373, 0.384, 0.881], [0.377, 0.131, 0.134], [0.381, 0.127, 0.616], [0.384, 0.881, 0.373], [0.387, 0.613, 0.113], [0.613, 0.113, 0.387], [0.616, 0.381, 0.127], [0.619, 0.627, 0.884], [0.623, 0.631, 0.366], [0.627, 0.884, 0.619], [0.631, 0.366, 0.623], [0.634, 0.123, 0.869], [0.637, 0.863, 0.137], [0.863, 0.137, 0.637], [0.866, 0.877, 0.369], [0.869, 0.634, 0.123], [0.873, 0.116, 0.119], [0.877, 0.369, 0.866], [0.881, 0.373, 0.384], [0.884, 0.619, 0.627], [0.887, 0.887, 0.887]],
  "raw_formation_energy_ev_per_atom": -1.913,
  "magmom_total_mub_per_cell": 0.00,
  "n_ef_per_ev_fu": 0.00,
  "total_energy_ev_per_atom": -5.96,
  "e_above_lowest_polymorph_ev_per_atom": 0.000
}


[8]
{
  "formula": "TiZnBi2Os",
  "functional": "PBE-GGA",
  "state": "relaxed",
  "lattice_angstrom": [[5.304, 0.000, 0.000], [0.000, 5.304, 0.000], [0.000, 0.000, 4.839]],
  "species": ["Ti", "Zn", "Bi", "Bi", "Os"],
  "frac_coords": [[0.000, 0.000, 0.000], [0.500, 0.500, 0.000], [0.000, 0.500, 0.500], [0.500, 0.000, 0.500], [0.000, 0.000, 0.500]],
  "magmom_total_mub_per_cell": 0.00,
  "n_ef_per_ev_fu": 6.97,
  "total_energy_ev_per_atom": -4.84,
  "e_form_ev_per_atom": 0.796
}